# 1
A PBEsol-optimized structure of LaTe2Cl, computed with meta-GGA SCAN.

```
LaTe2Cl
1.0
-1.381 -3.140 0.246
1.189 -2.223 2.338
-7.436 2.033 8.242
Te La Cl
2 1 1
Cartesian
-5.345 0.949 6.149
-2.282 -4.279 4.678
0.000 0.000 0.000
-3.814 -1.665 5.413
```

Output
Magnetization   0.00 Bohr magnetons per cell
Symmetry   R-3m (166)
Total energy   -125.30 eV/cell

---

# 2
A PBEsol-optimized structure of LaTeCl2, computed with meta-GGA SCAN.

```
LaTeCl2
1.0
-3.395 -2.697 -2.016
3.329 -3.122 -1.428
-1.021 -2.075 10.165
Cl La Te
4 2 2
Cartesian
1.535 -4.143 0.625
-2.128 -4.170 0.152
-0.659 -5.332 5.408
-0.921 -2.146 7.257
0.000 0.000 0.000
1.137 -4.054 3.507
-2.225 -3.841 3.213
-0.033 -2.910 -1.722
```

Output
Magnetization   1.96 Bohr magnetons per cell
Symmetry   I-42d (122)
Polymorph energy (0 for the lowest one)   9 meV per atom

---

# 3
A PBEsol-optimized structure of LaTeCl2, computed with meta-GGA SCAN.

```
LaTeCl2
1.0
3.520 0.000 0.000
0.000 3.520 0.000
0.000 0.000 8.292
Cl La Te
2 1 1
Cartesian
0.000 0.000 6.780
0.000 0.000 1.512
1.760 1.760 0.000
1.760 1.760 4.146
```

Output
Magnetization   0.00 Bohr magnetons per cell
Symmetry   P4/mmm (123)
Polymorph energy (0 for the lowest one)   5 meV per atom

---

# 4
A PBEsol-optimized structure of LaTi3Cl, computed with meta-GGA SCAN.

```
LaTi3Cl
1.0
-2.164 -3.042 2.726
3.419 -3.037 -0.674
2.235 1.701 3.672
La Ti Cl
1 3 1
Cartesian
1.745 -2.189 2.862
1.710 -1.518 -0.337
-1.082 -1.521 1.363
1.117 0.851 1.836
0.000 0.000 0.000
```

Output
Magnetization   1.74 Bohr magnetons per cell
Symmetry   Pm-3m (221)
Total energy   -99.02 eV/cell

---

# 5
A PBEsol-optimized structure of LaTiTlCl2, computed with meta-GGA SCAN.

```
LaTiTlCl2
1.0
-1.215 0.931 -5.113
0.260 -5.234 -1.014
-6.100 -0.564 1.347
La Cl Ti Tl
1 2 1 1
Cartesian
0.000 0.000 0.000
-0.608 0.465 -2.557
0.130 -2.617 -0.507
-3.050 -0.282 0.673
-3.527 -2.434 -2.390
```

Output
Magnetization   4.06 Bohr magnetons per cell
Symmetry   P4/mmm (123)
Total energy   -150.17 eV/cell

---

# 6
A PBEsol-optimized structure of LaWCl2, computed with meta-GGA SCAN.

```
LaWCl2
1.0
-1.098 0.761 -2.870
-2.066 -1.903 -1.460
-7.995 4.188 2.424
W Cl La
1 2 1
Cartesian
0.000 0.000 0.000
-6.203 3.009 1.425
-4.956 0.038 -3.331
-5.580 1.523 -0.953
```

Output
Magnetization   0.00 Bohr magnetons per cell
Symmetry   R-3m (166)
Total energy   -129.95 eV/cell

---

# 7
A PBEsol-optimized structure of La2WCl, computed with meta-GGA SCAN.

```
La2WCl
1.0
3.166 0.000 0.000
0.000 5.460 0.000
0.000 0.000 5.460
La Cl W
2 1 1
Cartesian
0.000 2.730 0.000
0.000 0.000 2.730
1.583 0.000 0.000
1.583 2.730 2.730
```

Output
Magnetization   0.00 Bohr magnetons per cell
Symmetry   P4/mmm (123)
Total energy   -164.72 eV/cell

---

# 8
A PBEsol-optimized structure of La3YCl, computed with meta-GGA SCAN.

```
La3YCl
1.0
-2.930 -2.112 -4.112
0.085 -4.892 2.453
-4.622 1.250 2.652
La Cl Y
3 1 1
Cartesian
0.042 -2.446 1.226
-2.311 0.625 1.326
-1.465 -1.056 -2.056
0.000 0.000 0.000
-3.734 -2.877 0.496
```

Output
Magnetization   0.09 Bohr magnetons per cell
Symmetry   Pm-3m (221)
Total energy   -168.38 eV/cell

---

# 9
A PBEsol-optimized structure of LaZnCl2, computed with meta-GGA SCAN.

```
LaZnCl2
1.0
-1.049 -0.925 3.549
-3.472 -1.377 -3.436
3.592 -4.095 -0.006
Zn La Cl
1 1 2
Cartesian
-0.525 -0.463 1.774
1.796 -2.047 -0.003
0.230 -4.268 1.006
-1.160 -2.129 -0.898
```

Output
Magnetization   0.00 Bohr magnetons per cell
Symmetry   C2/m (12)
Polymorph energy (0 for the lowest one)   0 meV per atom

---

# 10
A PBEsol-optimized structure of LaZnCl2, computed with meta-GGA SCAN.

```
LaZnCl2
1.0
-2.412 -1.106 4.218
1.974 -3.250 3.221
1.774 1.593 4.376
La Zn Cl
1 1 2
Cartesian
0.000 0.000 0.000
0.668 -1.381 5.907
0.334 -0.691 2.954
1.002 -2.072 8.861
```

Output
Magnetization   1.00 Bohr magnetons per cell
Symmetry   Fm-3m (225)
Polymorph energy (0 for the lowest one)   79 meV per atom

---

# 11
A PBEsol-optimized structure of LaZn2Cl, computed with meta-GGA SCAN.

```
LaZn2Cl
1.0
-1.744 -3.192 -1.445
3.443 -1.124 -1.673
1.477 -2.431 4.673
La Zn Cl
1 2 1
Cartesian
2.056 -1.874 0.734
1.075 -2.524 3.909
1.925 -4.683 2.351
-0.537 -2.909 0.848
```

Output
Magnetization   0.00 Bohr magnetons per cell
Symmetry   Pm (6)
Polymorph energy (0 for the lowest one)   0 meV per atom

---

# 12
A PBEsol-optimized structure of LaZn2Cl, computed with meta-GGA SCAN.

```
LaZn2Cl
1.0
-2.502 0.844 -2.250
-3.790 -1.644 3.598
1.725 5.320 0.077
Zn La Cl
2 1 1
Cartesian
0.862 2.660 0.038
-1.033 1.838 1.837
-3.146 -0.400 0.674
-1.251 0.422 -1.125
```

Output
Magnetization   0.00 Bohr magnetons per cell
Symmetry   Cmmm (65)
Polymorph energy (0 for the lowest one)   126 meV per atom

---

# 13
A PBEsol-optimized structure of LaZn2Cl, computed with meta-GGA SCAN.

```
LaZn2Cl
1.0
-0.361 1.156 3.118
2.308 -2.406 -0.263
6.134 6.053 -1.535
La Zn Cl
1 2 1
Cartesian
0.974 -0.625 1.427
4.390 4.331 -1.099
1.745 1.721 -0.437
4.041 2.401 0.660
```

Output
Magnetization   0.00 Bohr magnetons per cell
Symmetry   Cmmm (65)
Polymorph energy (0 for the lowest one)   367 meV per atom

---

# 14
A PBEsol-optimized structure of LaZnCl2, computed with meta-GGA SCAN.

```
LaZnCl2
1.0
3.561 0.000 0.000
1.780 3.084 0.000
1.780 1.028 8.670
Cl Zn La
2 1 1
Cartesian
5.341 3.084 2.864
1.780 1.028 5.806
3.561 2.056 4.335
0.000 0.000 0.000
```

Output
Magnetization   0.00 Bohr magnetons per cell
Symmetry   R-3m (166)
Polymorph energy (0 for the lowest one)   619 meV per atom

---

# 15
A PBEsol-optimized structure of LaZnCl2, computed with meta-GGA SCAN.

```
LaZnCl2
1.0
3.813 0.000 0.000
1.907 3.302 0.000
1.907 1.101 9.643
La Zn Cl
1 1 2
Cartesian
3.813 2.202 4.821
0.000 0.000 0.000
5.720 3.302 6.634
1.907 1.101 3.009
```

Output
Magnetization   0.00 Bohr magnetons per cell
Symmetry   R-3m (166)
Polymorph energy (0 for the lowest one)   35 meV per atom